Density functional theory data (PBE-GGA) for a relaxed Tm2Al5Au3 crystal.

final energy	-4.396	eV per atom
formation energy from the elements	-0.647	eV/atom

Structure (extended XYZ):
```
20
Lattice="2.165 -12.533 0.000 2.165 12.533 0.000 0.000 0.000 6.971" Properties=species:S:1:pos:R:3 pbc="T T T"
Tm 2.165 12.061 3.485
Tm 2.165 4.358 3.344
Tm 2.165 -4.358 6.829
Tm 2.165 -12.061 0.000
Al 2.165 9.972 1.026
Al 2.165 7.332 4.651
Al 2.165 7.317 1.839
Al 2.165 3.033 0.033
Al 2.165 1.324 2.305
Al 2.165 -1.324 5.790
Al 2.165 -3.033 3.518
Al 2.165 -7.317 5.325
Al 2.165 -7.332 1.166
Al 2.165 -9.972 4.512
Au 2.165 9.806 5.288
Au 2.165 5.665 6.714
Au 2.165 1.247 5.005
Au 2.165 -1.247 1.519
Au 2.165 -5.665 3.229
Au 2.165 -9.806 1.803
```


Density functional theory data (PBE-GGA) for a relaxed RbScMnTe3 crystal.

final energy	-5.198	eV per atom
E_form (uncorrected)	-0.882	eV per atom

Structure (extended XYZ):
```
12
Lattice="9.761 0.000 0.000 0.000 4.343 0.000 -3.930 0.000 9.883" Properties=species:S:1:pos:R:3 pbc="T T T"
Rb 1.137 1.086 2.425
Rb 4.694 3.257 7.459
Sc -0.141 3.257 8.531
Sc 5.973 1.086 1.353
Mn -1.580 1.086 6.014
Mn 7.411 3.257 3.870
Te -2.205 1.086 8.586
Te -0.008 3.257 5.419
Te 3.986 3.257 1.534
Te 1.845 1.086 8.349
Te 5.839 1.086 4.465
Te 8.036 3.257 1.297
```


Density functional theory data (PBE-GGA) for a relaxed PuTlBr6 crystal.

final energy	-4.354	eV per atom
E_form (uncorrected)	-1.013	eV per atom

Structure (extended XYZ):
```
8
Lattice="7.324 0.000 0.000 -3.659 6.357 0.000 -3.655 -2.108 6.731" Properties=species:S:1:pos:R:3 pbc="T T T"
Pu 0.000 0.000 0.000
Tl -3.657 2.124 3.366
Br -5.121 4.517 5.171
Br -2.326 4.593 1.558
Br 0.866 2.039 1.553
Br -0.856 2.210 5.178
Br 2.336 -0.344 5.173
Br 5.131 -0.268 1.560
```


Density functional theory data (PBE-GGA) for a relaxed Ac2TcWN6 crystal.

final energy	-8.890	eV per atom
E_form (uncorrected)	-0.741	eV per atom

Structure (extended XYZ):
```
10
Lattice="4.937 -2.856 0.000 4.937 2.856 0.000 -3.321 0.000 4.666" Properties=species:S:1:pos:R:3 pbc="T T T"
Ac 1.636 0.000 1.169
Ac 4.916 0.000 3.498
Tc -1.661 0.000 2.333
W 4.937 0.000 0.000
N 2.371 1.432 3.441
N -0.101 0.000 3.604
N 4.181 1.432 1.225
N 2.371 -1.432 3.441
N 6.653 0.000 1.063
N 4.181 -1.432 1.225
```


Q: Look up the final energy of the fourth one.
A: -8.890 eV per atom


Q: Which value of final energy does entry 4 give?
A: -8.890 eV per atom